(1)
This record from Alexandria via LeMat-Bulk describes a geometry-optimized TlFePb structure. The functional is PBE.

Computed properties:
SG = P3m1 (156)
Calculated formation energy = 651 meV per atom
Calculated density = 10.6 Mg/m³

Cell lengths 4.8616, 4.8616, 3.5732 Å; angles 90.00, 90.00, 120.00 degrees
Positions (direct):
1 Fe 0.0000 0.0000 0.9589
2 Pb 0.6667 0.3333 0.2726
3 Tl 0.3333 0.6667 0.7686

(2)
This record from Alexandria via LeMat-Bulk describes a geometry-optimized TlFePb2 structure. The functional is PBE.

Computed properties:
SG = Cmmm (65)
Calculated formation energy = 319 meV per atom
Calculated density = 10.9 Mg/m³

Cell lengths 3.3796, 3.3796, 9.0391 Å; angles 90.00, 90.00, 90.62 degrees
Positions (direct):
1 Fe 0.5000 0.5000 0.7500
2 Pb 0.0000 0.0000 0.9412
3 Pb 0.0000 0.0000 0.5588
4 Tl 0.5000 0.5000 0.2500

> Number 2 is which compound?

TlFePb2